## CsSb2Te2 (GGA-PBE)

Data for a geometry-optimized CsSb2Te2 structure.

```
CsSb2Te2
1.0
-1.090 -5.579 -2.261
5.902 -1.444 0.717
1.410 -5.232 3.955
Sb Te Cs
2 2 1
Cartesian
2.111 -4.021 0.627 Sb
4.110 -8.235 1.785 Sb
4.859 -5.094 1.950 Te
1.363 -7.162 0.461 Te
0.000 0.000 0.000 Cs
```

Values from the calculation:
The calculated total energy comes out at -0.2433 Ry per atom. The value obtained for the formation energy without anion corrections is -5.40 kcal/mol of atoms. The value obtained for the density is 5.46 g cm⁻³. As for the energy relative to the lowest polymorph listed for this composition: 0.00 eV per formula unit.



## TaBeOs2 (GGA-PBE)

Data for a geometry-optimized TaBeOs2 structure.

```
TaBeOs2
1.0
-0.086 2.626 -1.609
-0.052 -1.611 -2.626
-5.870 -0.088 0.170
Be Os Ta
1 2 1
Cartesian
-4.472 0.442 -1.990 Be
-3.071 -0.046 0.089 Os
-5.734 -0.086 0.166 Os
-1.536 0.486 -2.075 Ta
```

Values from the calculation:
The calculation puts the formation energy at -0.258 eV per atom. The calculated total energy comes out at -0.7179 Ry per atom. The value obtained for the density is 16.98 g cm⁻³.